(1)
{"formula": "Y2CuAs", "functional": "PBE", "state": "optimized geometry", "final_energy_ev_per_atom": -5.330, "formation_energy_ev_per_atom": 0.088, "dos_ef_per_ev_fu": 4.038, "lattice": [[0.000, 3.542, 3.542], [3.542, 0.000, 3.542], [3.542, 3.542, 0.000]], "species": ["Y", "Y", "Cu", "As"], "fractional_positions": [[0.000, 0.000, 0.000], [0.250, 0.250, 0.250], [0.750, 0.750, 0.750], [0.500, 0.500, 0.500]]}



(2)
{"formula": "YCuAs2", "functional": "PBE", "state": "optimized geometry", "final_energy_ev_per_atom": -5.538, "formation_energy_ev_per_atom": -0.573, "dos_ef_per_ev_fu": 1.343, "lattice": [[3.946, 0.000, 0.000], [0.000, 3.889, 0.000], [-0.306, 0.000, 5.488]], "species": ["Y", "Cu", "As", "As"], "fractional_positions": [[0.000, 0.000, 0.000], [0.500, 0.000, 0.500], [0.452, 0.500, 0.763], [0.548, 0.500, 0.237]]}



(3)
{"formula": "YCu4As", "functional": "PBE", "state": "optimized geometry", "final_energy_ev_per_atom": -4.776, "formation_energy_ev_per_atom": -0.193, "dos_ef_per_ev_fu": 3.065, "lattice": [[0.000, 3.613, 3.613], [3.613, 0.000, 3.613], [3.613, 3.613, 0.000]], "species": ["Y", "Cu", "Cu", "Cu", "Cu", "As"], "fractional_positions": [[0.000, 0.000, 0.000], [0.376, 0.376, 0.376], [0.376, 0.376, 0.873], [0.376, 0.873, 0.376], [0.873, 0.376, 0.376], [0.750, 0.750, 0.750]]}



(4)
{"formula": "YCuAs2", "functional": "PBE", "state": "optimized geometry", "final_energy_ev_per_atom": -5.300, "formation_energy_ev_per_atom": -0.335, "dos_ef_per_ev_fu": 2.605, "lattice": [[3.646, 0.000, 0.000], [0.000, 3.646, 0.000], [0.000, 0.000, 5.828]], "species": ["Y", "Cu", "As", "As"], "fractional_positions": [[0.000, 0.000, 0.000], [0.000, 0.000, 0.500], [0.500, 0.500, 0.279], [0.500, 0.500, 0.721]]}



(5)
{"formula": "YCuAs2", "functional": "PBE", "state": "optimized geometry", "final_energy_ev_per_atom": -5.407, "formation_energy_ev_per_atom": -0.442, "dos_ef_per_ev_fu": 3.919, "lattice": [[2.038, 1.177, 5.681], [-2.038, 1.177, 5.681], [0.000, -2.353, 5.681]], "species": ["Y", "Cu", "As", "As"], "fractional_positions": [[0.000, 0.000, 0.000], [0.500, 0.500, 0.500], [0.236, 0.236, 0.236], [0.764, 0.764, 0.764]]}



(6)
{"formula": "YCuAs2", "functional": "PBE", "state": "optimized geometry", "final_energy_ev_per_atom": -5.546, "formation_energy_ev_per_atom": -0.581, "dos_ef_per_ev_fu": 0.366, "lattice": [[-3.618, 3.618, 3.040], [3.618, -3.618, 3.040], [3.618, 3.618, -3.040]], "species": ["Y", "Y", "Cu", "Cu", "As", "As", "As", "As"], "fractional_positions": [[0.000, 0.000, 0.000], [0.750, 0.250, 0.500], [0.250, 0.750, 0.500], [0.500, 0.500, 0.000], [0.179, 0.625, 0.054], [0.375, 0.429, 0.554], [0.571, 0.125, 0.946], [0.875, 0.821, 0.446]]}



(7)
{"formula": "Y2CuAs", "functional": "PBE", "state": "optimized geometry", "final_energy_ev_per_atom": -5.896, "formation_energy_ev_per_atom": -0.478, "dos_ef_per_ev_fu": 1.758, "lattice": [[-3.717, 3.717, 3.637], [3.717, -3.717, 3.637], [3.717, 3.717, -3.637]], "species": ["Y", "Y", "Y", "Y", "Cu", "Cu", "As", "As"], "fractional_positions": [[0.119, 0.625, 0.994], [0.375, 0.369, 0.494], [0.631, 0.125, 0.006], [0.875, 0.881, 0.506], [0.000, 0.000, 0.000], [0.750, 0.250, 0.500], [0.250, 0.750, 0.500], [0.500, 0.500, 0.000]]}



(8)
{"formula": "Y2CuAs", "functional": "PBE", "state": "optimized geometry", "final_energy_ev_per_atom": -6.096, "formation_energy_ev_per_atom": -0.678, "dos_ef_per_ev_fu": 2.518, "lattice": [[3.617, 0.000, 0.000], [0.000, 3.631, 0.000], [0.000, 0.000, 6.704]], "species": ["Y", "Y", "Cu", "As"], "fractional_positions": [[0.000, 0.000, 0.247], [0.000, 0.000, 0.753], [0.500, 0.500, 0.500], [0.500, 0.500, 0.000]]}



(9)
{"formula": "Y2CuAs", "functional": "PBE", "state": "optimized geometry", "final_energy_ev_per_atom": -6.088, "formation_energy_ev_per_atom": -0.669, "dos_ef_per_ev_fu": 3.262, "lattice": [[3.672, 0.000, 0.000], [0.000, 4.870, 0.000], [0.000, 0.000, 4.871]], "species": ["Y", "Y", "Cu", "As"], "fractional_positions": [[0.000, 0.000, 0.000], [0.000, 0.500, 0.499], [0.500, 0.500, 0.999], [0.500, 0.000, 0.500]]}



(10)
{"formula": "Y3CuAs", "functional": "PBE", "state": "optimized geometry", "final_energy_ev_per_atom": -5.730, "formation_energy_ev_per_atom": -0.103, "dos_ef_per_ev_fu": 4.889, "lattice": [[5.227, 0.000, 0.000], [0.000, 5.227, 0.000], [0.000, 0.000, 5.227]], "species": ["Y", "Y", "Y", "Cu", "As"], "fractional_positions": [[0.000, 0.000, 0.500], [0.000, 0.500, 0.000], [0.500, 0.000, 0.000], [0.000, 0.000, 0.000], [0.500, 0.500, 0.500]]}



(11)
{"formula": "YCuAs2", "functional": "PBE", "state": "optimized geometry", "final_energy_ev_per_atom": -5.352, "formation_energy_ev_per_atom": -0.387, "dos_ef_per_ev_fu": 1.488, "lattice": [[2.114, -2.951, 0.000], [2.114, 2.951, 0.000], [0.000, 0.000, 6.485]], "species": ["Y", "Cu", "As", "As"], "fractional_positions": [[0.000, 0.000, 0.000], [0.000, 0.000, 0.500], [0.500, 0.500, 0.284], [0.500, 0.500, 0.716]]}



(12)
{"formula": "YCuAs2", "functional": "PBE", "state": "optimized geometry", "final_energy_ev_per_atom": -5.520, "formation_energy_ev_per_atom": -0.555, "dos_ef_per_ev_fu": 0.964, "lattice": [[4.442, 0.000, 0.000], [0.000, 4.442, 0.000], [0.000, 0.000, 4.046]], "species": ["Y", "Cu", "As", "As"], "fractional_positions": [[0.000, 0.000, 0.000], [0.500, 0.500, 0.802], [0.000, 0.500, 0.502], [0.500, 0.000, 0.502]]}



Asked for ρ across the records above, the calculation gives 5.910; 5.961; 7.358; 6.478; 6.141; 6.307; 5.225; 5.965; 6.029; 4.712; 6.202; 6.287 g cm⁻³ in order.
Asked for size of the total moment across the records above, the calculation gives 0.0; 0.0; 0.0; 0.0; 0.0; 0.0; 0.0; 0.0; 0.0; 0.0; 0.0; 0.0 μB per cell in order.